# CoBiPd PBE relaxed
# space-group type: No. 65
# calculated density: 11.5 g/cm3
# DFT total energy: -5.17 eV/atom
data_CoBiPd
_symmetry_space_group_name_H-M 'P 1'
_symmetry_Int_Tables_number 1
_cell_length_a 3.315
_cell_length_b 3.315
_cell_length_c 9.834
_cell_angle_alpha 90.00
_cell_angle_beta 90.00
_cell_angle_gamma 90.24
loop_
_symmetry_equiv_pos_as_xyz
'x,y,z'
loop_
_atom_site_label
_atom_site_type_symbol
_atom_site_fract_x
_atom_site_fract_y
_atom_site_fract_z
Co1 Co 0.000 0.000 0.000
Co2 Co 0.500 0.500 0.500
Bi1 Bi 0.000 0.000 0.325
Bi2 Bi 0.000 0.000 0.675
Pd1 Pd 0.500 0.500 0.136
Pd2 Pd 0.500 0.500 0.864